Here is CaPd2Au2 after structural relaxation from Alexandria via LeMat-Bulk. Energies are from GGA-PBEsol.

Cell: 6.9372 6.9372 6.9372 Å, 147.48 147.48 46.65°
With the nearest neighbours (Å) after each atom.
Positions (direct):
1 Ca 0.0000 0.0000 0.0000  8 Au 3.04
2 Pd 0.2500 0.7500 0.5000  4 Au 2.70, 4 Pd 2.75
3 Pd 0.7500 0.2500 0.5000  4 Au 2.70, 4 Pd 2.75
4 Au 0.3975 0.3975 0.0000  1 Au 2.61, 4 Pd 2.70
5 Au 0.6025 0.6025 0.0000  1 Au 2.61, 4 Pd 2.70

Computed properties:
As for the formation energy: -0.382 eV per atom. The value obtained for the total DFT energy (no corrections) is -4.76 eV per atom. The calculation puts the total moment at 0.00 μB/atom.